(1)
The following is a PBE-GGA calculation of TlTeO2 after structural relaxation, from Alexandria via LeMat-Bulk.

For the excess energy over the best structure of this formula in the dataset, the calculation gives 0.0390 eV/atom.

It has space group P2/c (No. 13), with a = 5.355 Å, b = 5.978 Å, c = 12.062 Å, α = 90.00°, β = 115.16° and γ = 90.00°. The inequivalent atoms are Tl at (0.146, 0.196, 0.132), Te at (0.371, 0.304, 0.881), O at (0.038, 0.230, 0.895) and O at (0.377, 0.302, 0.449).


(2)
The following is a PBE-GGA calculation of Ba2HfH after structural relaxation, from Alexandria via LeMat-Bulk.

For the excess energy over the best structure of this formula in the dataset, the calculation gives 0.0000 eV/atom.

It has space group I-42d (No. 122), with a = 7.923 Å, b = 7.923 Å, c = 8.188 Å, α = 90.00°, β = 90.00° and γ = 90.00°. The inequivalent atoms are Ba at (0.139, 0.750, 0.125), Hf at (0.000, 0.000, 0.500) and H at (0.000, 0.000, 0.000).


(3)
The following is a PBE-GGA calculation of YHgW2 after structural relaxation, from Alexandria via LeMat-Bulk.

Its formation energy is 0.64 eV/atom.

It has space group Cm (No. 8), with a = 9.319 Å, b = 2.896 Å, c = 6.079 Å, α = 90.00°, β = 95.50° and γ = 90.00°. The inequivalent atoms are Y at (0.000, 0.000, 0.000), Hg at (0.251, 0.500, 0.276), W at (0.245, 0.000, 0.712) and W at (0.490, 0.000, 0.537).


(4)
The following is a PBE-GGA calculation of BeAsPdSe2 after structural relaxation, from Alexandria via LeMat-Bulk.

For the excess energy over the best structure of this formula in the dataset, the calculation gives 0.0000 eV/atom.

It has space group P4/mmm (No. 123), with a = 4.620 Å, b = 4.620 Å, c = 4.328 Å, α = 90.00°, β = 90.00° and γ = 90.00°. The inequivalent atoms are Be at (0.000, 0.000, 0.000), As at (0.000, 0.000, 0.500), Pd at (0.500, 0.500, 0.500) and Se at (0.000, 0.500, 0.000).


(5)
The following is a PBE-GGA calculation of Zn2OsPbW after structural relaxation, from Alexandria via LeMat-Bulk.

Its formation energy is 2.56 eV/atom.

It has space group P4/mmm (No. 123), with a = 4.688 Å, b = 4.688 Å, c = 5.295 Å, α = 90.00°, β = 90.00° and γ = 90.00°. The inequivalent atoms are Zn at (0.000, 0.500, 0.000), Os at (0.000, 0.000, 0.500), Pb at (0.500, 0.500, 0.000) and W at (0.500, 0.500, 0.500).


(6)
The following is a PBE-GGA calculation of Hf2Zn3Cu after structural relaxation, from Alexandria via LeMat-Bulk.

For the excess energy over the best structure of this formula in the dataset, the calculation gives 0.0000 eV/atom. Its formation energy is -0.20 eV/atom.

It has space group Pmm2 (No. 25), with a = 3.064 Å, b = 4.324 Å, c = 7.485 Å, α = 90.00°, β = 90.00° and γ = 90.00°. The inequivalent atoms are Hf at (0.000, 0.000, 0.000), Hf at (0.000, 0.500, 0.482), Zn at (0.500, 0.000, 0.656), Zn at (0.500, 0.500, 0.157), Zn at (0.500, 0.500, 0.822) and Cu at (0.500, 0.000, 0.325).


(7)
The following is a PBE-GGA calculation of PaVCrSb after structural relaxation, from Alexandria via LeMat-Bulk.

It has space group F-43m (No. 216), with a = 6.600 Å, b = 6.600 Å, c = 6.600 Å, α = 90.00°, β = 90.00° and γ = 90.00°. The inequivalent atoms are Pa at (0.000, 0.000, 0.000), V at (0.250, 0.250, 0.250), Cr at (0.250, 0.250, 0.750) and Sb at (0.000, 0.000, 0.500).


(8)
The following is a PBE-GGA calculation of PmIn2Br6 after structural relaxation, from Alexandria via LeMat-Bulk.

For the excess energy over the best structure of this formula in the dataset, the calculation gives 0.0000 eV/atom.

It has space group C2/c (No. 15), with a = 13.067 Å, b = 15.511 Å, c = 6.853 Å, α = 90.00°, β = 98.89° and γ = 90.00°. The inequivalent atoms are Pm at (0.000, 0.089, 0.250), In at (0.135, 0.396, 0.090), Br at (0.091, 0.406, 0.504), Br at (0.124, 0.057, 0.627) and Br at (0.147, 0.202, 0.130).


(9)
The following is a PBE-GGA calculation of Ca3ZrPt after structural relaxation, from Alexandria via LeMat-Bulk.

For the excess energy over the best structure of this formula in the dataset, the calculation gives 0.0000 eV/atom. Its formation energy is 0.08 eV/atom.

It has space group Pm-3m (No. 221), with a = 5.512 Å, b = 5.512 Å, c = 5.512 Å, α = 90.00°, β = 90.00° and γ = 90.00°. The inequivalent atoms are Ca at (0.000, 0.000, 0.500), Zr at (0.500, 0.500, 0.500) and Pt at (0.000, 0.000, 0.000).


(10)
The following is a PBE-GGA calculation of PmYCo2 after structural relaxation, from Alexandria via LeMat-Bulk.

For the excess energy over the best structure of this formula in the dataset, the calculation gives 0.0000 eV/atom. Its formation energy is -0.14 eV/atom.

It has space group Amm2 (No. 38), with a = 3.907 Å, b = 4.077 Å, c = 10.462 Å, α = 90.00°, β = 90.00° and γ = 90.00°. The inequivalent atoms are Pm at (0.000, 0.000, 0.000), Y at (0.500, 0.000, 0.713), Co at (0.000, 0.000, 0.295) and Co at (0.500, 0.000, 0.408).


(11)
The following is a PBE-GGA calculation of CdSb2RhI after structural relaxation, from Alexandria via LeMat-Bulk.

For the excess energy over the best structure of this formula in the dataset, the calculation gives 0.0000 eV/atom.

It has space group P4/mmm (No. 123), with a = 5.137 Å, b = 5.137 Å, c = 5.719 Å, α = 90.00°, β = 90.00° and γ = 90.00°. The inequivalent atoms are Cd at (0.000, 0.000, 0.000), Sb at (0.000, 0.500, 0.500), Rh at (0.500, 0.500, 0.500) and I at (0.500, 0.500, 0.000).


(12)
The following is a PBE-GGA calculation of LiTa4Se after structural relaxation, from Alexandria via LeMat-Bulk.

It has space group F-43m (No. 216), with a = 7.830 Å, b = 7.830 Å, c = 7.830 Å, α = 90.00°, β = 90.00° and γ = 90.00°. The inequivalent atoms are Li at (0.000, 0.000, 0.000), Ta at (0.128, 0.128, 0.372) and Se at (0.250, 0.250, 0.750).


The total magnetic moment results, record by record, are as follows: 0.00 0.02 0.00 0.00 0.01 0.00 10.46 0.00 1.91 0.64 0.00 0.00 μB per cell.
The VASP energy results, record by record, are as follows: -4.582 -3.710 -7.524 -3.667 -3.530 -4.835 -8.033 -3.384 -4.034 -6.497 -3.351 -8.099 eV per atom.